[1]
Compound: Ac4Cu3Ni2
Source: Alexandria
Functional: PBE
Structure: relaxed

Summary:
For the formation energy, the calculation gives -0.1090 eV per atom.

a = 16.012 Å, b = 4.039 Å, c = 7.533 Å
α = 90.00°, β = 109.77°, γ = 90.00°
Space group C2/m (No. 12)
Asymmetric unit:
Ac 0.061 0.000 0.340 [4 per cell]
Ac 0.241 0.500 0.208 [4 per cell]
Cu 0.000 0.500 0.000 [2 per cell]
Cu 0.097 0.500 0.771 [4 per cell]
Ni 0.107 0.000 0.976 [4 per cell]


[2]
Compound: Ac12CuNi6
Source: Alexandria
Functional: PBE
Structure: relaxed

Summary:
For the formation energy, the calculation gives -0.1585 eV per atom.

a = 10.613 Å, b = 10.613 Å, c = 10.613 Å
α = 90.00°, β = 90.00°, γ = 90.00°
Space group Im-3 (No. 204)
Asymmetric unit:
Ac 0.000 0.182 0.310 [24 per cell]
Cu 0.000 0.000 0.000 [2 per cell]
Ni 0.000 0.381 0.500 [12 per cell]


| no. | total DFT energy (no corrections) (eV/cell) |
| --- | --- |
| 1 | -82.53 |
| 2 | -182.19 |